No. 1
First-principles (PBE) data for a relaxed TmSiTe crystal, as listed in the Alexandria database.

a = 4.059 Å, b = 4.059 Å, c = 12.007 Å
α = 80.27°, β = 80.27°, γ = 60.00°
Positions (direct):
Tm 0.563 0.563 0.312
Tm 0.437 0.437 0.688
Si 0.157 0.157 0.529
Si 0.843 0.843 0.471
Te 0.280 0.280 0.161
Te 0.720 0.720 0.839

Properties
- calculated density (g/cm³) = 6.42
- formation energy without anion corrections (eV/atom) = -0.747
- total magnetic moment (μB per formula unit) = 0.00
- D(E_F) (states/eV/cell) = 1.4
- space group = R-3m (166)

No. 2
First-principles (PBE) data for a relaxed Y3GaRh crystal, as listed in the Alexandria database.

a = 5.303 Å, b = 5.303 Å, c = 5.303 Å
α = 90.00°, β = 90.00°, γ = 90.00°
Positions (direct):
Ga 0.500 0.500 0.500
Y 0.500 0.000 0.000
Y 0.000 0.000 0.500
Y 0.000 0.500 0.000
Rh 0.000 0.000 0.000

Properties
- calculated density (g/cm³) = 4.89
- E_form (kJ per mole of atoms) = -23.5
- excess energy over the best structure of this formula in the dataset (meV per atom) = 0.0
- total magnetic moment (μB per formula unit) = 0.00
- D(E_F) (states/eV/cell) = 4.9
- space group = Pm-3m (221)

No. 3
First-principles (PBE) data for a relaxed La12Nd7Sm crystal, as listed in the Alexandria database.

a = 7.112 Å, b = 11.214 Å, c = 11.214 Å
α = 64.34°, β = 77.80°, γ = 102.21°
Positions (direct):
La 0.502 0.213 0.569
La 0.071 0.569 0.217
La 0.498 0.787 0.431
La 0.200 0.929 0.547
La 0.800 0.071 0.453
La 0.730 0.476 0.071
La 0.712 0.783 0.787
La 0.929 0.431 0.783
La 0.747 0.547 0.524
La 0.270 0.524 0.929
La 0.253 0.453 0.476
La 0.288 0.217 0.213
Nd 0.922 0.146 0.693
Nd 0.776 0.161 0.146
Nd 0.500 0.000 0.000
Nd 0.385 0.307 0.839
Nd 0.615 0.693 0.161
Nd 0.078 0.854 0.307
Nd 0.224 0.839 0.854
Sm 0.000 0.000 0.000

Properties
- calculated density (g/cm³) = 6.34
- E_form (kJ per mole of atoms) = 22.7
- excess energy over the best structure of this formula in the dataset (meV per atom) = 60.1
- total magnetic moment (μB per formula unit) = 0.00
- D(E_F) (states/eV/cell) = 29.3
- space group = R-3 (148)

No. 4
First-principles (PBE) data for a relaxed HoPa2PN5 crystal, as listed in the Alexandria database.

a = 5.367 Å, b = 6.585 Å, c = 6.585 Å
α = 90.00°, β = 90.00°, γ = 90.00°
Positions (direct):
N 0.766 0.861 0.361
N 0.766 0.639 0.861
N 0.500 0.000 0.000
N 0.766 0.139 0.639
N 0.500 0.500 0.500
N 0.234 0.139 0.639
N 0.234 0.861 0.361
N 0.766 0.361 0.139
N 0.234 0.361 0.139
N 0.234 0.639 0.861
P 0.000 0.000 0.500
P 0.000 0.500 0.000
Ho 0.000 0.500 0.500
Ho 0.000 0.000 0.000
Pa 0.500 0.325 0.825
Pa 0.500 0.175 0.325
Pa 0.500 0.675 0.175
Pa 0.500 0.825 0.675

Properties
- calculated density (g/cm³) = 10.39
- formation energy without anion corrections (eV/atom) = -1.063
- total magnetic moment (μB per formula unit) = 0.00
- D(E_F) (states/eV/cell) = 6.1
- space group = P4/mbm (127)

No. 5
First-principles (PBE) data for a relaxed AcPmAsS crystal, as listed in the Alexandria database.

a = 4.296 Å, b = 4.296 Å, c = 7.410 Å
α = 73.15°, β = 73.15°, γ = 60.00°
Positions (direct):
Pm 0.500 0.500 0.501
S 0.755 0.755 0.734
Ac 0.001 0.001 0.998
As 0.244 0.244 0.267

Properties
- calculated density (g/cm³) = 7.13
- formation energy without anion corrections (eV/atom) = -1.774
- excess energy over the best structure of this formula in the dataset (meV per atom) = 0.0
- total magnetic moment (μB per formula unit) = 0.00
- D(E_F) (states/eV/cell) = 1.9
- space group = R3m (160)

No. 6
First-principles (PBE) data for a relaxed MgSi2Hg2 crystal, as listed in the Alexandria database.

a = 3.458 Å, b = 3.458 Å, c = 9.039 Å
α = 78.97°, β = 78.97°, γ = 90.00°
Positions (direct):
Mg 0.000 0.000 0.000
Si 0.750 0.250 0.500
Si 0.250 0.750 0.500
Hg 0.396 0.396 0.207
Hg 0.604 0.604 0.793

Properties
- calculated density (g/cm³) = 7.69
- formation energy without anion corrections (eV/atom) = 0.166
- excess energy over the best structure of this formula in the dataset (meV per atom) = 0.0
- total magnetic moment (μB per formula unit) = 0.00
- D(E_F) (states/eV/cell) = 1.8
- space group = I4/mmm (139)

No. 7
First-principles (PBE) data for a relaxed LaSiIr2 crystal, as listed in the Alexandria database.

a = 4.720 Å, b = 4.720 Å, c = 4.720 Å
α = 60.00°, β = 60.00°, γ = 60.00°
Positions (direct):
La 0.500 0.500 0.500
Ir 0.000 0.000 0.000
Ir 0.250 0.250 0.250
Si 0.750 0.750 0.750

Properties
- calculated density (g/cm³) = 12.32
- formation energy without anion corrections (eV/atom) = 0.127
- total magnetic moment (μB per formula unit) = 0.00
- D(E_F) (states/eV/cell) = 4.8
- space group = F-43m (216)

No. 8
First-principles (PBE) data for a relaxed K4TaSe crystal, as listed in the Alexandria database.

a = 6.737 Å, b = 6.737 Å, c = 6.737 Å
α = 60.00°, β = 60.00°, γ = 60.00°
Positions (direct):
Se 0.750 0.750 0.750
Ta 0.000 0.000 0.000
K 0.376 0.871 0.376
K 0.871 0.376 0.376
K 0.376 0.376 0.376
K 0.376 0.376 0.871

Properties
- calculated density (g/cm³) = 3.20
- formation energy without anion corrections (eV/atom) = 0.942
- total magnetic moment (μB per formula unit) = 5.04
- D(E_F) (states/eV/cell) = 4.1
- space group = F-43m (216)